(1)
The following is a DFT calculation (PBE) of a relaxed NaCeHg2 crystal.

Values from the calculation:
- space-group type = Fm-3m (225)
- electronic total energy (eV per atom) = -2.237

Structure (extended XYZ):
```
4
Lattice="-1.9598 3.7972 -3.1178 -3.8773 -1.1234 -3.4183 -4.8834 1.8518 0.8378" Properties=species:S:1:pos:R:3 pbc="T T T"
Na -8.0403 3.3944 -4.2739
Hg -1.9593 3.7964 -3.1171
Hg -5.3609 2.2641 -2.8502
Ce -2.6801 1.1314 -1.4246
```

(2)
The following is a DFT calculation (PBE) of a relaxed SrCO2F crystal.

Values from the calculation:
- space-group type = P4/mmm (123)
- formation energy without anion corrections (kJ/mol of atoms) = 51.07

Structure (extended XYZ):
```
5
Lattice="5.0652 0.0000 0.0000 0.0000 5.0652 0.0000 0.0000 0.0000 4.5599" Properties=species:S:1:pos:R:3 pbc="T T T"
Sr 0.0000 0.0000 0.0000
C 2.5326 2.5326 2.2799
O 0.0000 2.5326 0.0000
O 2.5326 0.0000 0.0000
F 0.0000 0.0000 2.2799
```

(3)
The following is a DFT calculation (PBE) of a relaxed HOsRu2 crystal.

Values from the calculation:
- space-group type = Cm (8)
- relative energy among the computed polymorphs (meV per atom) = 0

Structure (extended XYZ):
```
4
Lattice="-1.5107 2.2681 0.5275 -2.2175 -0.1623 1.6617 2.5968 2.0389 5.9873" Properties=species:S:1:pos:R:3 pbc="T T T"
H -2.4702 1.4109 1.4841
Os -0.5649 2.0711 4.0860
Ru 1.8958 1.7919 5.0211
Ru -0.5577 0.9432 1.6736
```

(4)
The following is a DFT calculation (PBE) of a relaxed Er3InRu crystal.

Values from the calculation:
- space-group type = Fmmm (69)
- relative energy among the computed polymorphs (meV per atom) = 0

Structure (extended XYZ):
```
10
Lattice="-3.5705 -1.5605 -4.2461 3.7332 -4.2132 1.2347 -5.2536 -0.0998 6.9525" Properties=species:S:1:pos:R:3 pbc="T T T"
Er 1.3886 -3.8495 0.4107
Er -6.4795 -2.0239 3.5304
Er -0.9769 -0.9829 1.8318
Er -4.1140 -4.8906 2.1094
Er -1.7860 -3.5464 -0.3420
Er -3.3049 -2.3271 4.2831
In -4.3778 -2.0464 0.7188
In -0.7131 -3.8271 3.2223
Ru 0.0407 -1.4434 -0.7528
Ru 0.1221 -4.3303 -2.2585
```